Record 1
The following is a PBE-GGA calculation of a relaxed structure of InCu2Pt, from Alexandria via LeMat-Bulk.

Properties
Energy of formation from the pure elements = -166 meV/atom

Unit cell a=6.2626 b=6.2626 c=6.2626 alpha=90.00 beta=90.00 gamma=90.00
Last column: nearest neighbours and their distance in Å.
Space group F-43m (No. 216)
Symmetry-distinct sites (fractional):
In 0.0000 0.0000 0.0000 [4 per cell]  4 Cu 2.71, 4 Pt 2.71
Cu 0.0000 0.0000 0.5000 [4 per cell]  4 Cu 2.71, 4 Pt 2.71
Cu 0.2500 0.2500 0.2500 [4 per cell]  4 Cu 2.71, 4 In 2.71
Pt 0.2500 0.2500 0.7500 [4 per cell]  4 In 2.71, 4 Cu 2.71

***

Record 2
The following is a PBE-GGA calculation of a relaxed structure of SrRu3I, from Alexandria via LeMat-Bulk.

Properties
Relative energy among the computed polymorphs = 1.329 eV/atom
Energy relative to the elements, uncorrected = 2.46 eV per atom

Unit cell a=5.1119 b=5.1119 c=5.1119 alpha=90.00 beta=90.00 gamma=90.00
Last column: nearest neighbours and their distance in Å.
Space group Pm-3m (No. 221)
Symmetry-distinct sites (fractional):
Sr 0.0000 0.0000 0.0000 [1 per cell]  6 Ru 2.56
Ru 0.0000 0.0000 0.5000 [3 per cell]  2 Sr 2.56
I 0.5000 0.5000 0.5000 [1 per cell]  12 Ru 3.61

***

Record 3
The following is a PBE-GGA calculation of a relaxed structure of CdInTeF2, from Alexandria via LeMat-Bulk.

Properties
Energy relative to the elements, uncorrected = -1.36 eV per atom

Unit cell a=4.3572 b=4.3572 c=6.0262 alpha=90.00 beta=90.00 gamma=90.00
Last column: nearest neighbours and their distance in Å.
Space group P4/mmm (No. 123)
Symmetry-distinct sites (fractional):
Cd 0.0000 0.0000 0.0000 [1 per cell]  4 Te 3.08
In 0.5000 0.5000 0.5000 [1 per cell]  4 F 2.18
Te 0.5000 0.5000 0.0000 [1 per cell]  2 In 3.01, 4 Cd 3.08
F 0.0000 0.5000 0.5000 [2 per cell]  2 In 2.18

***

Record 4
The following is a PBE-GGA calculation of a relaxed structure of MnSbPb2, from Alexandria via LeMat-Bulk.

Properties
Energy relative to the elements, uncorrected = 0.36 eV per atom

Unit cell a=6.9020 b=9.2595 c=3.3634 alpha=90.00 beta=90.00 gamma=90.00
Last column: nearest neighbours and their distance in Å.
Space group Cmmm (No. 65)
Symmetry-distinct sites (fractional):
Mn 0.0000 0.0000 0.0000 [2 per cell]  8 Pb 3.34, 2 Mn 3.36, 2 Sb 3.45
Sb 0.0000 0.5000 0.0000 [2 per cell]  8 Pb 3.34, 2 Sb 3.36, 2 Mn 3.45
Pb 0.2500 0.2500 0.5000 [4 per cell]  4 Mn 3.34, 4 Sb 3.34, 4 Pb 3.36-3.45

***

Record 5
The following is a PBE-GGA calculation of a relaxed structure of SrLaPd2, from Alexandria via LeMat-Bulk.

Properties
Relative energy among the computed polymorphs = 0.307 eV/atom
Energy of formation from the pure elements = -405 meV/atom

Unit cell a=7.9427 b=7.9427 c=7.0709 alpha=90.00 beta=90.00 gamma=90.00
Last column: nearest neighbours and their distance in Å.
Space group I-42d (No. 122)
Symmetry-distinct sites (fractional):
Sr 0.0000 0.0000 0.0000 [4 per cell]  4 Pd 3.06
La 0.0000 0.0000 0.5000 [4 per cell]  4 Pd 2.84
Pd 0.2294 0.2500 0.6250 [8 per cell]  2 La 2.84, 2 Sr 3.06

***

Record 6
The following is a PBE-GGA calculation of a relaxed structure of Se2SBrN, from Alexandria via LeMat-Bulk.

Properties
Relative energy among the computed polymorphs = 0.457 eV/atom
Energy relative to the elements, uncorrected = 1.53 eV per atom

Unit cell a=4.9301 b=4.9301 c=5.2172 alpha=90.00 beta=90.00 gamma=90.00
Last column: nearest neighbours and their distance in Å.
Space group P4/mmm (No. 123)
Symmetry-distinct sites (fractional):
Se 0.0000 0.5000 0.0000 [2 per cell]  2 S 2.47
S 0.0000 0.0000 0.0000 [1 per cell]  4 Se 2.47, 2 Br 2.61
Br 0.0000 0.0000 0.5000 [1 per cell]  2 S 2.61
N 0.5000 0.5000 0.5000 [1 per cell]  4 Br 3.49, 8 Se 3.59

***

Record 7
The following is a PBE-GGA calculation of a relaxed structure of Mg2AgBr, from Alexandria via LeMat-Bulk.

Properties
Relative energy among the computed polymorphs = 0.263 eV/atom
Energy relative to the elements, uncorrected = -0.19 eV per atom

Unit cell a=3.9926 b=3.9926 c=11.7304 alpha=90.00 beta=90.00 gamma=90.00
Last column: nearest neighbours and their distance in Å.
Space group I-4m2 (No. 119)
Symmetry-distinct sites (fractional):
Mg 0.0000 0.0000 0.0000 [2 per cell]  4 Br 2.82
Mg 0.0000 0.5000 0.2500 [2 per cell]  4 Ag 2.82
Ag 0.0000 0.5000 0.7500 [2 per cell]  4 Mg 2.82
Br 0.0000 0.0000 0.5000 [2 per cell]  4 Mg 2.82

***

Record 8
The following is a PBE-GGA calculation of a relaxed structure of LiNi2Ru, from Alexandria via LeMat-Bulk.

Properties
Relative energy among the computed polymorphs = 0.157 eV/atom
Energy of formation from the pure elements = 191 meV/atom

Unit cell a=3.7490 b=3.7490 c=3.4170 alpha=90.00 beta=90.00 gamma=90.00
Last column: nearest neighbours and their distance in Å.
Space group P4/mmm (No. 123)
Symmetry-distinct sites (fractional):
Li 0.0000 0.0000 0.0000 [1 per cell]  8 Ni 2.54, 4 Ru 2.65
Ni 0.0000 0.5000 0.5000 [2 per cell]  4 Ru 2.54, 4 Li 2.54, 4 Ni 2.65
Ru 0.5000 0.5000 0.0000 [1 per cell]  8 Ni 2.54, 4 Li 2.65

***

Record 9
The following is a PBE-GGA calculation of a relaxed structure of Al2InRe2, from Alexandria via LeMat-Bulk.

Properties
Relative energy among the computed polymorphs = 0.000 eV/atom
Energy of formation from the pure elements = 190 meV/atom

Unit cell a=7.0778 b=7.0778 c=3.3205 alpha=90.00 beta=90.00 gamma=90.00
Last column: nearest neighbours and their distance in Å.
Space group P4/mbm (No. 127)
Symmetry-distinct sites (fractional):
Al 0.1457 0.3543 0.0000 [4 per cell]  6 Re 2.64-2.68, 1 Al 2.92
In 0.0000 0.0000 0.5000 [2 per cell]  4 Re 2.72
Re 0.1441 0.6441 0.5000 [4 per cell]  6 Al 2.64-2.68, 2 In 2.72, 1 Re 2.88

***

Record 10
The following is a PBE-GGA calculation of a relaxed structure of RbInHg2Ir, from Alexandria via LeMat-Bulk.

Properties
Energy of formation from the pure elements = -129 meV/atom

Unit cell a=5.4223 b=5.4223 c=5.1602 alpha=90.00 beta=90.00 gamma=90.00
Last column: nearest neighbours and their distance in Å.
Space group P4/mmm (No. 123)
Symmetry-distinct sites (fractional):
Rb 0.0000 0.0000 0.0000 [1 per cell]  8 Hg 3.74, 4 In 3.83
In 0.5000 0.5000 0.0000 [1 per cell]  2 Ir 2.58
Hg 0.0000 0.5000 0.5000 [2 per cell]  2 Ir 2.71
Ir 0.5000 0.5000 0.5000 [1 per cell]  2 In 2.58, 4 Hg 2.71

***

Record 11
The following is a PBE-GGA calculation of a relaxed structure of NaNd2Tl9, from Alexandria via LeMat-Bulk.

Properties
Energy of formation from the pure elements = -211 meV/atom

Unit cell a=4.8334 b=4.8334 c=14.5611 alpha=90.00 beta=90.00 gamma=90.00
Last column: nearest neighbours and their distance in Å.
Space group P4/mmm (No. 123)
Symmetry-distinct sites (fractional):
Na 0.0000 0.0000 0.0000 [1 per cell]  12 Tl 3.42
Nd 0.0000 0.0000 0.3367 [2 per cell]  12 Tl 3.39-3.47
Tl 0.0000 0.5000 0.1660 [4 per cell]  8 Tl 3.42-3.44, 2 Na 3.42, 2 Nd 3.47
Tl 0.0000 0.5000 0.5000 [2 per cell]  4 Nd 3.39, 8 Tl 3.42
Tl 0.5000 0.5000 0.0000 [1 per cell]  4 Na 3.42, 8 Tl 3.42
Tl 0.5000 0.5000 0.3340 [2 per cell]  8 Tl 3.42-3.44, 4 Nd 3.42

***

Record 12
The following is a PBE-GGA calculation of a relaxed structure of Tb4NdHoSe8, from Alexandria via LeMat-Bulk.

Properties
Energy relative to the elements, uncorrected = -1.72 eV per atom

Unit cell a=8.4912 b=8.4912 c=20.7483 alpha=90.00 beta=90.00 gamma=120.00
Last column: nearest neighbours and their distance in Å.
Space group R3m (No. 160, hexagonal axes)
Symmetry-distinct sites (fractional):
Tb 0.0000 0.0000 0.0000 [3 per cell]  4 Se 2.74-2.75
Tb 0.0020 0.5010 0.8757 [9 per cell]  6 Se 2.89-2.91
Nd 0.0000 0.0000 0.7509 [3 per cell]  4 Se 2.81-2.82
Ho 0.0000 0.0000 0.3750 [3 per cell]  6 Se 2.87-2.89
Se 0.0000 0.0000 0.1322 [3 per cell]  4 Tb 2.74-2.91
Se 0.0000 0.0000 0.6154 [3 per cell]  1 Nd 2.81, 3 Tb 2.89
Se 0.0293 0.5147 0.1282 [9 per cell]  1 Nd 2.82, 1 Ho 2.87, 2 Tb 2.89
Se 0.1772 0.3544 0.9574 [9 per cell]  3 Tb 2.75-2.91, 1 Ho 2.89

***

no.,total DFT energy (no corrections) (eV/atom),spin magnetization (μB/atom),density of states at the Fermi level (states/eV/cell)
1,-4.4093,0.00,8.40
2,-3.7497,1.17,7.09
3,-3.4683,0.00,1.72
4,-4.8170,1.08,4.46
5,-4.6534,0.00,10.87
6,-2.6863,0.38,5.79
7,-2.1202,0.00,2.19
8,-5.4975,0.59,4.31
9,-6.8344,0.00,11.74
10,-2.7635,0.00,1.68
11,-2.8901,0.00,5.77
12,-5.7007,0.00,27.14